# Er2FeC4, single point on PBEsol structure, DFT SCAN
# E_form = -0.3711 eV per atom
# mass density = 8543 kg/m3
# total magnetic moment = 0.00 μB per formula unit
data_Er2FeC4
_chemical_formula_sum 'Er8 Fe4 C16'
_cell_length_a 7.386
_cell_length_b 9.361
_cell_length_c 4.930
_cell_angle_alpha 90.00
_cell_angle_beta 90.00
_cell_angle_gamma 90.00
_symmetry_space_group_name_H-M 'I b a m'
_symmetry_Int_Tables_number 72
_symmetry_space_group_name_Hall '-I 2 2c'
loop_
_atom_site_label
_atom_site_type_symbol
_atom_site_fract_x
_atom_site_fract_y
_atom_site_fract_z
Er1 Er 0.156 0.144 0.000
Fe1 Fe 0.000 0.500 0.250
C1 C 0.160 0.130 0.500
C2 C 0.165 0.421 0.000

***

# La2NiRh, single point on PBEsol structure, DFT SCAN
# E_form = -0.5656 eV per atom
# mass density = 8229 kg/m3
# total magnetic moment = 0.00 μB per formula unit
data_La2NiRh
_chemical_formula_sum 'La4 Ni2 Rh2'
_cell_length_a 4.151
_cell_length_b 3.906
_cell_length_c 10.939
_cell_angle_alpha 90.00
_cell_angle_beta 90.00
_cell_angle_gamma 90.00
_symmetry_space_group_name_H-M 'A m m 2'
_symmetry_Int_Tables_number 38
_symmetry_space_group_name_Hall 'A 2 -2'
loop_
_atom_site_label
_atom_site_type_symbol
_atom_site_fract_x
_atom_site_fract_y
_atom_site_fract_z
La1 La 0.000 0.000 0.000
La2 La 0.500 0.000 0.273
Ni1 Ni 0.000 0.000 0.717
Rh1 Rh 0.500 0.000 0.551

***

# BeGe3F, single point on PBEsol structure, DFT SCAN
# mass density = 4642 kg/m3
# E_form (uncorrected) = 485 meV per atom
# total magnetic moment = 0.00 μB per formula unit
data_BeGe3F
_chemical_formula_sum 'Be1 Ge3 F1'
_cell_length_a 4.447
_cell_length_b 4.447
_cell_length_c 4.447
_cell_angle_alpha 90.00
_cell_angle_beta 90.00
_cell_angle_gamma 90.00
_symmetry_space_group_name_H-M 'P m -3 m'
_symmetry_Int_Tables_number 221
_symmetry_space_group_name_Hall '-P 4 2 3'
loop_
_atom_site_label
_atom_site_type_symbol
_atom_site_fract_x
_atom_site_fract_y
_atom_site_fract_z
Be1 Be 0.000 0.000 0.000
Ge1 Ge 0.000 0.500 0.500
F1 F 0.500 0.500 0.500

***

# Sn2SbPt2, single point on PBEsol structure, DFT SCAN
# mass density = 11692 kg/m3
# E_form (uncorrected) = -118 meV per atom
# total magnetic moment = 0.00 μB per formula unit
data_Sn2SbPt2
_chemical_formula_sum 'Sn4 Sb2 Pt4'
_cell_length_a 4.222
_cell_length_b 4.222
_cell_length_c 11.943
_cell_angle_alpha 90.00
_cell_angle_beta 90.00
_cell_angle_gamma 90.00
_symmetry_space_group_name_H-M 'I 4/m m m'
_symmetry_Int_Tables_number 139
_symmetry_space_group_name_Hall '-I 4 2'
loop_
_atom_site_label
_atom_site_type_symbol
_atom_site_fract_x
_atom_site_fract_y
_atom_site_fract_z
Sn1 Sn 0.000 0.500 0.250
Sb1 Sb 0.000 0.000 0.000
Pt1 Pt 0.000 0.000 0.389

***

# BeSiPt2, single point on PBEsol structure, DFT SCAN
# mass density = 13835 kg/m3
# E_form (uncorrected) = -751 meV per atom
# total magnetic moment = 0.00 μB per formula unit
data_BeSiPt2
_chemical_formula_sum 'Be2 Si2 Pt4'
_cell_length_a 8.474
_cell_length_b 3.053
_cell_length_c 4.104
_cell_angle_alpha 90.00
_cell_angle_beta 104.95
_cell_angle_gamma 90.00
_symmetry_space_group_name_H-M 'C 1 m 1'
_symmetry_Int_Tables_number 8
_symmetry_space_group_name_Hall 'C -2y'
loop_
_atom_site_label
_atom_site_type_symbol
_atom_site_fract_x
_atom_site_fract_y
_atom_site_fract_z
Be1 Be 0.000 0.000 0.000
Si1 Si 0.257 0.500 0.350
Pt1 Pt 0.264 0.000 0.881
Pt2 Pt 0.497 0.000 0.484

***

# Nd2Se3, single point on PBEsol structure, DFT SCAN
# mass density = 6850 kg/m3
# E_form (uncorrected) = -2143 meV per atom
# total magnetic moment = 0.00 μB per formula unit
data_Nd2Se3
_chemical_formula_sum 'Nd32 Se48'
_cell_length_a 8.790
_cell_length_b 8.790
_cell_length_c 26.376
_cell_angle_alpha 90.00
_cell_angle_beta 90.00
_cell_angle_gamma 90.00
_symmetry_space_group_name_H-M 'I -4 2 d'
_symmetry_Int_Tables_number 122
_symmetry_space_group_name_Hall 'I -4 2bw'
loop_
_atom_site_label
_atom_site_type_symbol
_atom_site_fract_x
_atom_site_fract_y
_atom_site_fract_z
Nd1 Nd 0.000 0.000 0.167
Nd2 Nd 0.120 0.750 0.625
Nd3 Nd 0.133 0.743 0.960
Se1 Se 0.075 0.672 0.182
Se2 Se 0.075 0.678 0.853
Se3 Se 0.081 0.672 0.515

***

# FeCu2Pt, single point on PBEsol structure, DFT SCAN
# E_form = -0.1339 eV per atom
# mass density = 12549 kg/m3
# total magnetic moment = 3.48 μB per formula unit
data_FeCu2Pt
_chemical_formula_sum 'Fe4 Cu8 Pt4'
_cell_length_a 5.849
_cell_length_b 5.849
_cell_length_c 5.849
_cell_angle_alpha 90.00
_cell_angle_beta 90.00
_cell_angle_gamma 90.00
_symmetry_space_group_name_H-M 'F -4 3 m'
_symmetry_Int_Tables_number 216
_symmetry_space_group_name_Hall 'F -4 2 3'
loop_
_atom_site_label
_atom_site_type_symbol
_atom_site_fract_x
_atom_site_fract_y
_atom_site_fract_z
Fe1 Fe 0.000 0.000 0.000
Cu1 Cu 0.000 0.000 0.500
Cu2 Cu 0.250 0.250 0.250
Pt1 Pt 0.250 0.250 0.750

***

# CaNiCl2, single point on PBEsol structure, DFT SCAN
# mass density = 4104 kg/m3
# offset from the most stable computed form = 185 meV/atom
# E_form (uncorrected) = -893 meV per atom
# total magnetic moment = 0.08 μB per formula unit
data_CaNiCl2
_chemical_formula_sum 'Ca4 Ni4 Cl8'
_cell_length_a 6.500
_cell_length_b 6.500
_cell_length_c 6.500
_cell_angle_alpha 90.00
_cell_angle_beta 90.00
_cell_angle_gamma 90.00
_symmetry_space_group_name_H-M 'F m -3 m'
_symmetry_Int_Tables_number 225
_symmetry_space_group_name_Hall '-F 4 2 3'
loop_
_atom_site_label
_atom_site_type_symbol
_atom_site_fract_x
_atom_site_fract_y
_atom_site_fract_z
Ca1 Ca 0.000 0.000 0.000
Ni1 Ni 0.000 0.000 0.500
Cl1 Cl 0.250 0.250 0.250

***

# Ga2CoRu, single point on PBEsol structure, DFT SCAN
# E_form = -0.2755 eV per atom
# mass density = 9994 kg/m3
# total magnetic moment = 0.01 μB per formula unit
data_Ga2CoRu
_chemical_formula_sum 'Ga8 Co4 Ru4'
_cell_length_a 5.838
_cell_length_b 5.838
_cell_length_c 5.838
_cell_angle_alpha 90.00
_cell_angle_beta 90.00
_cell_angle_gamma 90.00
_symmetry_space_group_name_H-M 'F m -3 m'
_symmetry_Int_Tables_number 225
_symmetry_space_group_name_Hall '-F 4 2 3'
loop_
_atom_site_label
_atom_site_type_symbol
_atom_site_fract_x
_atom_site_fract_y
_atom_site_fract_z
Ga1 Ga 0.250 0.250 0.250
Co1 Co 0.000 0.000 0.000
Ru1 Ru 0.000 0.000 0.500

***

# TlIrCl, single point on PBEsol structure, DFT SCAN
# mass density = 13219 kg/m3
# offset from the most stable computed form = 0 meV/atom
# E_form (uncorrected) = 620 meV per atom
# total magnetic moment = 0.00 μB per formula unit
data_TlIrCl
_chemical_formula_sum 'Tl1 Ir1 Cl1'
_cell_length_a 4.4305
_cell_length_b 4.4305
_cell_length_c 3.1928
_cell_angle_alpha 90.00
_cell_angle_beta 90.00
_cell_angle_gamma 120.00
_symmetry_space_group_name_H-M 'P -6 m 2'
_symmetry_Int_Tables_number 187
_symmetry_space_group_name_Hall 'P -6 2'
loop_
_atom_site_label
_atom_site_type_symbol
_atom_site_fract_x
_atom_site_fract_y
_atom_site_fract_z
Tl1 Tl 0.0000 0.0000 0.0000
Ir1 Ir 0.3333 0.6667 0.5000
Cl1 Cl 0.6667 0.3333 0.5000

***

# BaTi3Cu, single point on PBEsol structure, DFT SCAN
# E_form = 0.7288 eV per atom
# mass density = 5218 kg/m3
# offset from the most stable computed form = 0 meV/atom
# total magnetic moment = 0.00 μB per formula unit
data_BaTi3Cu
_chemical_formula_sum 'Ba1 Ti3 Cu1'
_cell_length_a 4.786
_cell_length_b 4.786
_cell_length_c 4.786
_cell_angle_alpha 90.00
_cell_angle_beta 90.00
_cell_angle_gamma 90.00
_symmetry_space_group_name_H-M 'P m -3 m'
_symmetry_Int_Tables_number 221
_symmetry_space_group_name_Hall '-P 4 2 3'
loop_
_atom_site_label
_atom_site_type_symbol
_atom_site_fract_x
_atom_site_fract_y
_atom_site_fract_z
Ba1 Ba 0.000 0.000 0.000
Ti1 Ti 0.000 0.500 0.500
Cu1 Cu 0.500 0.500 0.500

***

# ScAsW2, single point on PBEsol structure, DFT SCAN
# E_form = 0.1343 eV per atom
# mass density = 12213 kg/m3
# total magnetic moment = 0.00 μB per formula unit
data_ScAsW2
_chemical_formula_sum 'Sc2 As2 W4'
_cell_length_a 3.732
_cell_length_b 3.732
_cell_length_c 9.520
_cell_angle_alpha 90.00
_cell_angle_beta 90.00
_cell_angle_gamma 90.00
_symmetry_space_group_name_H-M 'I 4/m m m'
_symmetry_Int_Tables_number 139
_symmetry_space_group_name_Hall '-I 4 2'
loop_
_atom_site_label
_atom_site_type_symbol
_atom_site_fract_x
_atom_site_fract_y
_atom_site_fract_z
Sc1 Sc 0.000 0.000 0.000
As1 As 0.000 0.000 0.500
W1 W 0.000 0.500 0.250

***

Q: Which of these has the lowest mass density?
A: CaNiCl2

***

Q: What is the formula in the fourth record?
A: Sn2SbPt2